Entry 1:
The following is a DFT calculation (GGA-PBEsol) of Zn2PRh after structural relaxation.

abc: 3.328 3.328 4.856
angles: 90.00 90.00 90.00
Space group P4/mmm (No. 123)
Asymmetric unit:
Zn  0.000  0.000  0.250
P  0.500  0.500  0.000
Rh  0.500  0.500  0.500

Summary:
Mass density: 8.2 g/cm³
V: 53.8 Å³/f.u.
Energy relative to the elements: -203 meV per atom
DOS(E_F): 0.44 states/eV/atom



Entry 2:
The following is a DFT calculation (GGA-PBEsol) of SbAsIO2 after structural relaxation.

abc: 4.161 4.161 5.412
angles: 90.00 90.00 90.00
Space group P4/mmm (No. 123)
Asymmetric unit:
Sb  0.000  0.000  0.000
As  0.500  0.500  0.500
I  0.500  0.500  0.000
O  0.000  0.500  0.500

Summary:
Mass density: 6.3 g/cm³
V: 93.7 Å³/f.u.
DOS(E_F): 0.64 states/eV/atom
ΔE_f (raw): 137 meV/atom



Entry 3:
The following is a DFT calculation (GGA-PBEsol) of Re2TcTe after structural relaxation.

abc: 3.072 4.508 9.055
angles: 90.00 90.00 90.00
Space group Imm2 (No. 44)
Asymmetric unit:
Re  0.000  0.000  0.000
Re  0.000  0.500  0.240
Tc  0.000  0.500  0.774
Te  0.000  0.000  0.503

Summary:
Mass density: 15.8 g/cm³
V: 62.7 Å³/f.u.
DOS(E_F): 0.92 states/eV/atom
ΔE_f (raw): 593 meV/atom



Entry 4:
The following is a DFT calculation (GGA-PBEsol) of TlPO2F after structural relaxation.

abc: 3.589 3.589 4.859
angles: 90.00 90.00 90.00
Space group P4/mmm (No. 123)
Asymmetric unit:
Tl  0.000  0.000  0.000
P  0.500  0.500  0.500
O  0.000  0.500  0.500
F  0.500  0.500  0.000

Summary:
Mass density: 7.6 g/cm³
V: 62.6 Å³/f.u.
DOS(E_F): 0.17 states/eV/atom
ΔE_f (raw): -1083 meV/atom



Entry 5:
The following is a DFT calculation (GGA-PBEsol) of ZrCdPt after structural relaxation.

abc: 3.498 3.498 9.006
angles: 90.00 90.00 90.00
Space group I4mm (No. 107)
Asymmetric unit:
Zr  0.000  0.000  0.000
Cd  0.000  0.000  0.319
Pt  0.000  0.000  0.653

Summary:
Mass density: 12.0 g/cm³
V: 55.1 Å³/f.u.
Energy relative to the elements: -569 meV per atom
DOS(E_F): 0.53 states/eV/atom



Entry 6:
The following is a DFT calculation (GGA-PBEsol) of MgAu after structural relaxation.

abc: 9.887 3.228 7.054
angles: 90.00 109.66 90.00
Space group Cm (No. 8)
Asymmetric unit:
Mg  0.000  0.000  0.000
Mg  0.051  0.000  0.591
Mg  0.335  0.000  0.246
Au  0.135  0.500  0.331
Au  0.205  0.500  0.913
Au  0.349  0.000  0.667

Summary:
Mass density: 10.4 g/cm³
V: 35.3 Å³/f.u.
Energy relative to the elements: -499 meV per atom
DOS(E_F): 0.29 states/eV/atom



Question: The highest DOS(E_F) belongs to which entry?
Answer: Re2TcTe



Question: Among the records above, which one has the highest mass density?
Answer: Re2TcTe